First-principles (GGA-PBE) data for a relaxed Na3LiTe2 crystal, as listed in Alexandria.

## Properties
As for the raw formation energy: -926 meV/atom. Its density of states at the Fermi level is 0.0 states/eV/f.u. The electronic total energy is -35.42 eV per cell. Its theoretical density is 3.18 g/cm³. The space-group type is Ibam (72).

Geometry as POSCAR:
```
Na3LiTe2
1.0
-4.633 -0.477 5.461
2.860 -5.367 1.958
5.553 6.982 0.603
Li Na Te
2 6 4
direct
0.000 0.750 0.000
0.000 0.250 0.000
0.500 0.250 0.000
0.376 0.681 0.362
0.986 0.181 0.362
0.500 0.750 0.000
0.014 0.819 0.638
0.624 0.319 0.638
0.658 0.884 0.768
0.110 0.384 0.768
0.890 0.616 0.232
0.342 0.116 0.232
```